(1)
Material: Nd2Ir
Method: DFT, PBE-GGA
State: optimized geometry

The space-group type is No. 227. The formation energy comes out at 738.2 meV per atom.

abc: 8.6710 8.6710 8.6710
angles: 60.00 60.00 60.00
Last column: nearest neighbours and their distance in Å.
Positions (direct):
Ir1 0.5000 0.5000 0.5000  4 Nd 2.65
Ir2 0.7500 0.7500 0.7500  4 Nd 2.65
Nd1 0.6250 0.6250 0.1250  2 Ir 2.65
Nd2 0.6250 0.1250 0.6250  2 Ir 2.65
Nd3 0.1250 0.6250 0.6250  2 Ir 2.65
Nd4 0.6250 0.6250 0.6250  2 Ir 2.65

***

(2)
Material: LiHf3N5
Method: DFT, PBE-GGA
State: optimized geometry

Its calculated total energy is -8.43 eV/atom. The space-group type is No. 191.

abc: 5.6099 5.6099 4.3118
angles: 90.00 90.00 120.00
Last column: nearest neighbours and their distance in Å.
Positions (direct):
Hf1 0.5000 0.0000 0.5000  4 N 2.17
Hf2 0.0000 0.5000 0.5000  4 N 2.17
Hf3 0.5000 0.5000 0.5000  4 N 2.17
Li1 0.0000 0.0000 0.0000  2 N 2.16
N1 0.6667 0.3333 0.1633  1 N 1.41
N2 0.3333 0.6667 0.1633  1 N 1.41
N3 0.0000 0.0000 0.5000  2 Li 2.16
N4 0.6667 0.3333 0.8367  1 N 1.41
N5 0.3333 0.6667 0.8367  1 N 1.41

***

(3)
Material: ZrOs
Method: DFT, PBE-GGA
State: optimized geometry

The space-group type is No. 59. The formation energy comes out at -30.7 meV per atom.

abc: 11.0343 5.7414 4.5488
angles: 90.00 90.00 90.00
Last column: nearest neighbours and their distance in Å.
Positions (direct):
Os1 0.7652 0.2605 0.0000  6 Os 2.61-2.81, 3 Zr 2.80-2.85
Os2 0.5177 0.5000 0.0000  8 Zr 2.83-2.89, 2 Os 3.06
Os3 0.9662 0.5000 0.0000  6 Os 2.61-2.81, 4 Zr 2.81-2.89
Os4 0.7652 0.7395 0.0000  6 Os 2.61-2.81, 3 Zr 2.80-2.85
Os5 0.1490 0.0000 0.5000  8 Zr 2.83-2.89, 2 Os 3.06
Os6 0.7005 0.0000 0.5000  6 Os 2.61-2.81, 4 Zr 2.81-2.89
Os7 0.9015 0.2395 0.5000  6 Os 2.61-2.81, 3 Zr 2.80-2.85
Os8 0.9015 0.7605 0.5000  6 Os 2.61-2.81, 3 Zr 2.80-2.85
Zr1 0.5506 0.0000 0.0000  6 Os 2.80-2.89, 4 Zr 3.10
Zr2 0.9956 0.0000 0.0000  10 Os 2.83-2.95, 2 Zr 3.14
Zr3 0.2515 0.2401 0.0000  4 Zr 2.76-2.98, 2 Os 2.89
Zr4 0.2515 0.7599 0.0000  4 Zr 2.76-2.98, 2 Os 2.89
Zr5 0.4151 0.2599 0.5000  4 Zr 2.76-2.98, 2 Os 2.89
Zr6 0.1161 0.5000 0.5000  6 Os 2.80-2.89, 4 Zr 3.10
Zr7 0.6710 0.5000 0.5000  10 Os 2.83-2.95, 2 Zr 3.14
Zr8 0.4151 0.7401 0.5000  4 Zr 2.76-2.98, 2 Os 2.89

***

(4)
Material: DyGaTc
Method: DFT, PBE-GGA
State: optimized geometry

Its calculated total energy is -5.89 eV/atom. The space-group type is No. 216.

abc: 4.4716 4.4716 4.4716
angles: 60.00 60.00 60.00
Last column: nearest neighbours and their distance in Å.
Positions (direct):
Dy1 0.2500 0.2500 0.2500  4 Ga 2.74
Ga1 0.0000 0.0000 0.0000  4 Tc 2.74, 4 Dy 2.74
Tc1 0.7500 0.7500 0.7500  4 Ga 2.74

***

(5)
Material: Re3H18C12Se4N6Cl
Method: DFT, PBE-GGA
State: optimized geometry

Its calculated total energy is -6.40 eV/atom. The space-group type is No. 2.

abc: 10.1308 10.8545 11.5403
angles: 85.11 64.92 72.12
Last column: nearest neighbours and their distance in Å.
Positions (direct):
C1 0.8624 0.6800 0.0384  3 H 1.09-1.10
C2 0.8116 0.9287 0.0683  1 H 1.08
C3 0.4634 0.2548 0.0917  1 H 1.08
C4 0.8513 0.7999 0.0994  1 N 1.35, 2 C 1.39-1.48
C5 0.3070 0.5030 0.1137  3 H 1.10
C6 0.3350 0.3633 0.1417  1 N 1.35, 2 C 1.40-1.49
C7 0.4171 0.1496 0.1552  1 H 1.08
C8 0.8243 0.0000 0.1562  1 H 1.08
C9 0.5585 0.5039 0.2881  1 H 1.08
C10 0.4850 0.6372 0.2997  1 H 1.08
C11 0.4516 0.4494 0.3794  1 N 1.35, 2 C 1.40-1.49
C12 0.4597 0.3133 0.4149  3 H 1.10
C13 0.5403 0.6867 0.5851  3 H 1.10
C14 0.5484 0.5506 0.6206  1 N 1.35, 2 C 1.40-1.49
C15 0.5150 0.3628 0.7003  1 H 1.08
C16 0.4415 0.4961 0.7119  1 H 1.08
C17 0.1757 0.0000 0.8438  1 H 1.08
C18 0.5829 0.8504 0.8448  1 H 1.08
C19 0.6650 0.6367 0.8583  1 N 1.35, 2 C 1.40-1.49
C20 0.6930 0.4970 0.8863  3 H 1.10
C21 0.1487 0.2001 0.9006  1 N 1.35, 2 C 1.39-1.48
C22 0.5366 0.7452 0.9083  1 H 1.08
C23 0.1884 0.0713 0.9317  1 H 1.08
C24 0.1376 0.3200 0.9616  3 H 1.09-1.10
Cl1 0.9057 0.5170 0.3017  3 H 2.07-2.22
Cl2 0.0943 0.4830 0.6983  3 H 2.07-2.22
H1 0.0193 0.3839 0.0044  1 C 1.10
H2 0.3612 0.5143 0.0101  1 C 1.10
H3 0.2187 0.0350 0.0104  1 C 1.08
H4 0.5751 0.2522 0.0180  1 C 1.08
H5 0.1763 0.2943 0.0380  1 C 1.09
H6 0.7941 0.6237 0.1083  1 C 1.10
H7 0.4811 0.0477 0.1464  1 C 1.08
H8 0.1838 0.5523 0.1499  1 C 1.10
H9 0.3542 0.5512 0.1603  1 C 1.10
H10 0.8064 0.1030 0.1648  1 C 1.08
H11 0.6762 0.4535 0.2265  1 C 1.08
H12 0.5258 0.7158 0.2480  1 C 1.08
H13 0.9069 0.7198 0.2542  1 N 1.04
H14 0.1077 0.3754 0.2763  1 N 1.05
H15 0.4135 0.2686 0.3646  1 C 1.10
H16 0.5787 0.2552 0.3896  1 C 1.10
H17 0.7722 0.4576 0.4797  1 N 1.04
H18 0.6068 0.6910 0.4819  1 C 1.10
H19 0.3932 0.3090 0.5181  1 C 1.10
H20 0.2278 0.5424 0.5203  1 N 1.04
H21 0.4213 0.7448 0.6104  1 C 1.10
H22 0.5865 0.7314 0.6354  1 C 1.10
H23 0.8924 0.6246 0.7237  1 N 1.05
H24 0.0931 0.2802 0.7458  1 N 1.04
H25 0.4742 0.2842 0.7520  1 C 1.08
H26 0.3238 0.5465 0.7735  1 C 1.08
H27 0.1936 0.8970 0.8352  1 C 1.08
H28 0.6458 0.4488 0.8397  1 C 1.10
H29 0.8162 0.4477 0.8501  1 C 1.10
H30 0.5189 0.9523 0.8536  1 C 1.08
H31 0.2059 0.3763 0.8917  1 C 1.10
H32 0.8237 0.7057 0.9620  1 C 1.09
H33 0.4249 0.7478 0.9820  1 C 1.08
H34 0.7813 0.9650 0.9896  1 C 1.08
H35 0.6388 0.4857 0.9899  1 C 1.10
H36 0.9807 0.6161 0.9956  1 C 1.10
N1 0.8848 0.7992 0.2013  1 H 1.04
N2 0.2225 0.3201 0.2305  1 H 1.05
N3 0.8691 0.9205 0.2377  1 C 1.35, 1 N 1.36
N4 0.2693 0.1901 0.2396  1 C 1.35, 1 N 1.35
N5 0.3414 0.6641 0.3922  1 C 1.35, 1 N 1.35
N6 0.3235 0.5486 0.4385  1 H 1.04
N7 0.6765 0.4514 0.5615  1 H 1.04
N8 0.6586 0.3359 0.6078  1 C 1.35, 1 N 1.35
N9 0.7307 0.8099 0.7604  1 C 1.35, 1 N 1.35
N10 0.1309 0.0795 0.7623  1 C 1.35, 1 N 1.36
N11 0.7775 0.6799 0.7695  1 H 1.05
N12 0.1152 0.2008 0.7987  1 H 1.04
Re1 0.1259 0.0855 0.3777  1 N 2.16
Re2 0.9381 0.9619 0.3805  1 N 2.17
Re3 0.1598 0.8458 0.4510  1 N 2.16
Re4 0.8402 0.1542 0.5490  1 N 2.16
Re5 0.0619 0.0381 0.6195  1 N 2.17
Re6 0.8741 0.9145 0.6223  1 N 2.16
Se1 0.2176 0.8959 0.2189  3 Re 2.54-2.55, 1 H 2.73
Se2 0.9081 0.1945 0.3137  3 Re 2.54, 1 H 2.72
Se3 0.3366 0.9708 0.4488  3 Re 2.54-2.55
Se4 0.9737 0.7313 0.4563  3 Re 2.53-2.55, 1 H 2.71
Se5 0.0263 0.2687 0.5437  3 Re 2.53-2.55, 1 H 2.71
Se6 0.6634 0.0292 0.5512  3 Re 2.54-2.55
Se7 0.0919 0.8055 0.6863  3 Re 2.54, 1 H 2.72
Se8 0.7824 0.1041 0.7811  3 Re 2.54-2.55, 1 H 2.73

***

(6)
Material: Gd4PBr5
Method: DFT, PBE-GGA
State: optimized geometry

Its calculated total energy is -4.88 eV/atom. The space-group type is No. 12.

abc: 9.2704 9.2704 8.3775
angles: 102.57 102.57 24.98
Last column: nearest neighbours and their distance in Å.
Positions (direct):
Br1 0.8281 0.8281 0.1669  4 Gd 2.96-3.16
Br2 0.1658 0.1658 0.3337  3 Gd 2.90-2.95
Br3 0.5000 0.5000 0.5000  4 Gd 3.10
Br4 0.8342 0.8342 0.6663  3 Gd 2.90-2.95
Br5 0.1719 0.1719 0.8331  4 Gd 2.96-3.16
Gd1 0.6492 0.6492 0.0773  1 P 2.63, 2 Br 2.90
Gd2 0.9997 0.9997 0.2171  2 P 2.71, 1 Br 2.95
Gd3 0.0003 0.0003 0.7829  2 P 2.71, 1 Br 2.95
Gd4 0.3508 0.3508 0.9227  1 P 2.63, 2 Br 2.90
P1 0.5000 0.5000 0.0000  6 Gd 2.63-2.71